The following is a DFT calculation (PBE with a Hubbard U) of a relaxed structure of VNiF2.

Calculated values
- D(E_F): 0.13 states/eV per atom
- Mass density: 3.89 g cm⁻³
- Energy above the lowest structure with this stoichiometry: 0.000 eV/f.u.

The structure in CIF format:
```
data_VNiF2
_chemical_formula_sum 'V3 Ni3 F6'
_cell_length_a 3.1064
_cell_length_b 3.1064
_cell_length_c 22.6446
_cell_angle_alpha 90.00
_cell_angle_beta 90.00
_cell_angle_gamma 120.00
_symmetry_space_group_name_H-M 'R -3 m'
_symmetry_Int_Tables_number 166
_symmetry_space_group_name_Hall '-R 3 2"'
loop_
_atom_site_label
_atom_site_type_symbol
_atom_site_fract_x
_atom_site_fract_y
_atom_site_fract_z
V1 V 0.0000 0.0000 0.0000
Ni1 Ni 0.0000 0.0000 0.5000
F1 F 0.0000 0.0000 0.3811
```